(1)
Compound: LiCa4N2
Source: the Alexandria database
Functional: PBE
Structure: optimized geometry

Cell: 3.7441 12.4488 13.1535 Å, 90.00 90.00 90.00°
Space group Cmcm (No. 63)
One atom of each set of equivalent atoms:
Li 0.0000 0.1268 0.2500
Ca 0.0000 0.0000 0.0000
Ca 0.0000 0.2512 0.5927
Ca 0.0000 0.4148 0.2500
N 0.0000 0.3631 0.0646

## Properties
E_form (uncorrected) in eV per atom: -0.4512
Raw total energy in eV/atom: -4.25
Crystal system: orthorhombic


(2)
Compound: BaScBe
Source: the Alexandria database
Functional: PBE
Structure: optimized geometry

Cell: 3.6779 3.6779 7.4049 Å, 90.00 90.00 120.00°
Space group P3m1 (No. 156)
One atom of each set of equivalent atoms:
Ba 0.0000 0.0000 0.0000
Sc 0.6667 0.3333 0.5402
Be 0.3333 0.6667 0.3242

## Properties
Formation energy from the elements in eV/atom: 0.600
Raw total energy in eV/atom: -3.39
Crystal system: trigonal


(3)
Compound: Rb2GaAs
Source: the Alexandria database
Functional: PBE
Structure: optimized geometry

Cell: 7.9456 10.2668 8.1495 Å, 90.00 92.95 90.00°
Space group P2_1/c (No. 14)
One atom of each set of equivalent atoms:
Rb 0.0191 0.1714 0.4861
Rb 0.4793 0.6890 0.3715
Ga 0.1302 0.0166 0.8749
As 0.1982 0.5449 0.6752

## Properties
Formation energy from the elements in eV/atom: -0.269
Raw total energy in eV/atom: -2.67
Crystal system: monoclinic


(4)
Compound: Li3ZnCd6
Source: the Alexandria database
Functional: PBE
Structure: optimized geometry

Cell: 10.4657 10.4657 12.5667 Å, 90.00 90.00 120.00°
Space group R-3 (No. 148, hexagonal axes)
One atom of each set of equivalent atoms:
Li 0.0371 0.4504 0.2058
Zn 0.0000 0.0000 0.0000
Zn 0.0000 0.0000 0.5000
Cd 0.0410 0.1870 0.3114
Cd 0.0601 0.7978 0.9176

## Properties
Formation energy from the elements in eV/atom: -0.125
Raw total energy in eV/atom: -1.38
Crystal system: trigonal


(5)
Compound: LaTa2Os
Source: the Alexandria database
Functional: PBE
Structure: optimized geometry

Cell: 3.1682 5.0231 9.9641 Å, 90.00 90.00 90.00°
Space group Imm2 (No. 44)
One atom of each set of equivalent atoms:
La 0.0000 0.0000 0.0000
Ta 0.0000 0.0000 0.4631
Ta 0.0000 0.5000 0.2329
Os 0.0000 0.5000 0.7528

## Properties
Formation energy from the elements in eV/atom: 0.354
Raw total energy in eV/atom: -9.61
Crystal system: orthorhombic


(6)
Compound: Sr2YCd
Source: the Alexandria database
Functional: PBE
Structure: optimized geometry

Cell: 3.9682 3.9682 34.6044 Å, 90.00 90.00 120.00°
Space group R-3m (No. 166, hexagonal axes)
One atom of each set of equivalent atoms:
Sr 0.0000 0.0000 0.2419
Y 0.0000 0.0000 0.0000
Cd 0.0000 0.0000 0.5000

## Properties
Formation energy from the elements in eV/atom: 0.077
Raw total energy in eV/atom: -2.61
Crystal system: trigonal


(7)
Compound: SrCa2Au2
Source: the Alexandria database
Functional: PBE
Structure: optimized geometry

Cell: 4.7930 4.7930 13.2136 Å, 90.00 90.00 90.00°
Space group I4/mmm (No. 139)
One atom of each set of equivalent atoms:
Sr 0.0000 0.0000 0.0000
Ca 0.0000 0.5000 0.2500
Au 0.0000 0.0000 0.3926

## Properties
Formation energy from the elements in eV/atom: -0.620
Raw total energy in eV/atom: -3.07
Crystal system: tetragonal


(8)
Compound: BaLi2P
Source: the Alexandria database
Functional: PBE
Structure: optimized geometry

Cell: 3.5962 3.9657 7.5148 Å, 90.00 90.00 90.00°
Space group Pmm2 (No. 25)
One atom of each set of equivalent atoms:
Ba 0.0000 0.0000 0.0000
Li 0.0000 0.0000 0.6065
Li 0.5000 0.5000 0.4261
P 0.5000 0.5000 0.7517

## Properties
Formation energy from the elements in eV/atom: -0.321
Raw total energy in eV/atom: -3.11
Crystal system: orthorhombic


- Among the records above, which one has the highest raw total energy?
  Li3ZnCd6


Please write out number 5 again, unchanged.
Compound: LaTa2Os
Source: the Alexandria database
Functional: PBE
Structure: optimized geometry

Cell: 3.1682 5.0231 9.9641 Å, 90.00 90.00 90.00°
Space group Imm2 (No. 44)
One atom of each set of equivalent atoms:
La 0.0000 0.0000 0.0000
Ta 0.0000 0.0000 0.4631
Ta 0.0000 0.5000 0.2329
Os 0.0000 0.5000 0.7528

## Properties
Formation energy from the elements in eV/atom: 0.354
Raw total energy in eV/atom: -9.61
Crystal system: orthorhombic